(1)
The following is a DFT calculation (GGA-PBEsol) of CrHg2Au after structural relaxation.

Cell and atoms, written as CIF:
```
data_CrHg2Au
_chemical_formula_sum 'Cr1 Hg2 Au1'
_cell_length_a 3.277
_cell_length_b 3.708
_cell_length_c 6.011
_cell_angle_alpha 90.00
_cell_angle_beta 90.00
_cell_angle_gamma 90.00
_symmetry_space_group_name_H-M 'P 1'
_symmetry_Int_Tables_number 1
_symmetry_space_group_name_Hall 'P 1'
loop_
_atom_site_label
_atom_site_fract_x
_atom_site_fract_y
_atom_site_fract_z
Cr1 0.000 0.000 0.000
Hg1 0.500 0.500 0.245
Hg2 0.500 0.500 0.755
Au1 0.000 0.000 0.500
```

Computed properties:
For the raw total energy, the calculation gives -14.24 eV per formula unit. As for the calculated formation energy: 0.27 eV per atom. For the density of states at the Fermi level, the calculation gives 1.666 states/eV per cell.

(2)
The following is a DFT calculation (GGA-PBEsol) of CrAuI3 after structural relaxation.

Cell and atoms, written as CIF:
```
data_CrAuI3
_chemical_formula_sum 'Cr1 Au1 I3'
_cell_length_a 5.343
_cell_length_b 5.343
_cell_length_c 5.343
_cell_angle_alpha 90.00
_cell_angle_beta 90.00
_cell_angle_gamma 90.00
_symmetry_space_group_name_H-M 'P 1'
_symmetry_Int_Tables_number 1
_symmetry_space_group_name_Hall 'P 1'
loop_
_atom_site_label
_atom_site_fract_x
_atom_site_fract_y
_atom_site_fract_z
Cr1 0.000 0.000 0.000
Au1 0.500 0.500 0.500
I1 0.000 0.000 0.500
I2 0.000 0.500 0.000
I3 0.500 0.000 0.000
```

Computed properties:
Its excess energy over the best structure of this formula in the dataset is 0.0 meV per atom. The raw formation energy comes out at 2.2 eV per formula unit. For the raw total energy, the calculation gives -17.30 eV per formula unit. For the density of states at the Fermi level, the calculation gives 2.420 states/eV per cell.

(3)
The following is a DFT calculation (GGA-PBEsol) of KCrAu2I after structural relaxation.

Cell and atoms, written as CIF:
```
data_KCrAu2I
_chemical_formula_sum 'K1 Cr1 Au2 I1'
_cell_length_a 5.378
_cell_length_b 5.378
_cell_length_c 6.113
_cell_angle_alpha 90.00
_cell_angle_beta 90.00
_cell_angle_gamma 90.00
_symmetry_space_group_name_H-M 'P 1'
_symmetry_Int_Tables_number 1
_symmetry_space_group_name_Hall 'P 1'
loop_
_atom_site_label
_atom_site_fract_x
_atom_site_fract_y
_atom_site_fract_z
K1 0.000 0.000 0.000
Cr1 0.500 0.500 0.000
Au1 0.000 0.500 0.500
Au2 0.500 0.000 0.500
I1 0.000 0.000 0.500
```

Computed properties:
The raw formation energy comes out at 5.0 eV per formula unit. For the raw total energy, the calculation gives -16.03 eV per formula unit. For the density of states at the Fermi level, the calculation gives 1.615 states/eV per cell.

(4)
The following is a DFT calculation (GGA-PBEsol) of CrAuI2N after structural relaxation.

Cell and atoms, written as CIF:
```
data_CrAuI2N
_chemical_formula_sum 'Cr1 Au1 I2 N1'
_cell_length_a 5.431
_cell_length_b 5.431
_cell_length_c 3.556
_cell_angle_alpha 90.00
_cell_angle_beta 90.00
_cell_angle_gamma 90.00
_symmetry_space_group_name_H-M 'P 1'
_symmetry_Int_Tables_number 1
_symmetry_space_group_name_Hall 'P 1'
loop_
_atom_site_label
_atom_site_fract_x
_atom_site_fract_y
_atom_site_fract_z
Cr1 0.000 0.000 0.000
Au1 0.500 0.500 0.500
I1 0.000 0.500 0.000
I2 0.500 0.000 0.000
N1 0.000 0.000 0.500
```

Computed properties:
The raw formation energy comes out at 1.7 eV per formula unit. For the raw total energy, the calculation gives -24.57 eV per formula unit. For the density of states at the Fermi level, the calculation gives 2.131 states/eV per cell.

(5)
The following is a DFT calculation (GGA-PBEsol) of CrSbAuI2 after structural relaxation.

Cell and atoms, written as CIF:
```
data_CrSbAuI2
_chemical_formula_sum 'Cr1 Sb1 Au1 I2'
_cell_length_a 5.533
_cell_length_b 5.533
_cell_length_c 5.350
_cell_angle_alpha 90.00
_cell_angle_beta 90.00
_cell_angle_gamma 90.00
_symmetry_space_group_name_H-M 'P 1'
_symmetry_Int_Tables_number 1
_symmetry_space_group_name_Hall 'P 1'
loop_
_atom_site_label
_atom_site_fract_x
_atom_site_fract_y
_atom_site_fract_z
Cr1 0.000 0.000 0.000
Sb1 0.500 0.500 0.000
Au1 0.500 0.500 0.500
I1 0.000 0.500 0.500
I2 0.500 0.000 0.500
```

Computed properties:
The raw formation energy comes out at 4.2 eV per formula unit. For the raw total energy, the calculation gives -18.04 eV per formula unit. For the density of states at the Fermi level, the calculation gives 4.332 states/eV per cell.

(6)
The following is a DFT calculation (GGA-PBEsol) of CrSnAu2I after structural relaxation.

Cell and atoms, written as CIF:
```
data_CrSnAu2I
_chemical_formula_sum 'Cr1 Sn1 Au2 I1'
_cell_length_a 5.012
_cell_length_b 5.012
_cell_length_c 5.073
_cell_angle_alpha 90.00
_cell_angle_beta 90.00
_cell_angle_gamma 90.00
_symmetry_space_group_name_H-M 'P 1'
_symmetry_Int_Tables_number 1
_symmetry_space_group_name_Hall 'P 1'
loop_
_atom_site_label
_atom_site_fract_x
_atom_site_fract_y
_atom_site_fract_z
Cr1 0.000 0.000 0.000
Sn1 0.500 0.500 0.500
Au1 0.000 0.500 0.000
Au2 0.500 0.000 0.000
I1 0.000 0.000 0.500
```

Computed properties:
The raw formation energy comes out at 3.2 eV per formula unit. For the raw total energy, the calculation gives -20.94 eV per formula unit. For the density of states at the Fermi level, the calculation gives 2.856 states/eV per cell.

(7)
The following is a DFT calculation (GGA-PBEsol) of CrInAu2 after structural relaxation.

Cell and atoms, written as CIF:
```
data_CrInAu2
_chemical_formula_sum 'Cr1 In1 Au2'
_cell_length_a 8.691
_cell_length_b 8.691
_cell_length_c 8.691
_cell_angle_alpha 20.86
_cell_angle_beta 20.86
_cell_angle_gamma 20.86
_symmetry_space_group_name_H-M 'P 1'
_symmetry_Int_Tables_number 1
_symmetry_space_group_name_Hall 'P 1'
loop_
_atom_site_label
_atom_site_fract_x
_atom_site_fract_y
_atom_site_fract_z
Cr1 0.000 0.000 0.000
In1 0.500 0.500 0.500
Au1 0.256 0.256 0.256
Au2 0.744 0.744 0.744
```

Computed properties:
For the raw total energy, the calculation gives -20.13 eV per formula unit. As for the calculated formation energy: 0.24 eV per atom. For the density of states at the Fermi level, the calculation gives 3.326 states/eV per cell.

(8)
The following is a DFT calculation (GGA-PBEsol) of CrInAu2 after structural relaxation.

Cell and atoms, written as CIF:
```
data_CrInAu2
_chemical_formula_sum 'Cr1 In1 Au2'
_cell_length_a 8.849
_cell_length_b 8.849
_cell_length_c 8.849
_cell_angle_alpha 20.06
_cell_angle_beta 20.06
_cell_angle_gamma 20.06
_symmetry_space_group_name_H-M 'P 1'
_symmetry_Int_Tables_number 1
_symmetry_space_group_name_Hall 'P 1'
loop_
_atom_site_label
_atom_site_fract_x
_atom_site_fract_y
_atom_site_fract_z
Cr1 0.000 0.000 0.000
In1 0.752 0.752 0.752
Au1 0.257 0.257 0.257
Au2 0.504 0.504 0.504
```

Computed properties:
For the raw total energy, the calculation gives -19.95 eV per formula unit. As for the calculated formation energy: 0.28 eV per atom. For the density of states at the Fermi level, the calculation gives 2.891 states/eV per cell.

(9)
The following is a DFT calculation (GGA-PBEsol) of CrIrAu2 after structural relaxation.

Cell and atoms, written as CIF:
```
data_CrIrAu2
_chemical_formula_sum 'Cr1 Ir1 Au2'
_cell_length_a 4.448
_cell_length_b 4.448
_cell_length_c 4.448
_cell_angle_alpha 60.00
_cell_angle_beta 60.00
_cell_angle_gamma 60.00
_symmetry_space_group_name_H-M 'P 1'
_symmetry_Int_Tables_number 1
_symmetry_space_group_name_Hall 'P 1'
loop_
_atom_site_label
_atom_site_fract_x
_atom_site_fract_y
_atom_site_fract_z
Cr1 0.000 0.000 0.000
Ir1 0.500 0.500 0.500
Au1 0.250 0.250 0.250
Au2 0.750 0.750 0.750
```

Computed properties:
For the raw total energy, the calculation gives -26.28 eV per formula unit. As for the calculated formation energy: 0.41 eV per atom. For the density of states at the Fermi level, the calculation gives 5.453 states/eV per cell.

(10)
The following is a DFT calculation (GGA-PBEsol) of CrIr2AuO after structural relaxation.

Cell and atoms, written as CIF:
```
data_CrIr2AuO
_chemical_formula_sum 'Cr1 Ir2 Au1 O1'
_cell_length_a 4.372
_cell_length_b 4.372
_cell_length_c 4.722
_cell_angle_alpha 90.00
_cell_angle_beta 90.00
_cell_angle_gamma 90.00
_symmetry_space_group_name_H-M 'P 1'
_symmetry_Int_Tables_number 1
_symmetry_space_group_name_Hall 'P 1'
loop_
_atom_site_label
_atom_site_fract_x
_atom_site_fract_y
_atom_site_fract_z
Cr1 0.000 0.000 0.000
Ir1 0.000 0.500 0.000
Ir2 0.500 0.000 0.000
Au1 0.000 0.000 0.500
O1 0.500 0.500 0.500
```

Computed properties:
The raw formation energy comes out at 9.8 eV per formula unit. For the raw total energy, the calculation gives -29.24 eV per formula unit. For the density of states at the Fermi level, the calculation gives 6.303 states/eV per cell.

(11)
The following is a DFT calculation (GGA-PBEsol) of KCr2Au after structural relaxation.

Cell and atoms, written as CIF:
```
data_KCr2Au
_chemical_formula_sum 'K1 Cr2 Au1'
_cell_length_a 3.568
_cell_length_b 3.568
_cell_length_c 7.120
_cell_angle_alpha 90.00
_cell_angle_beta 90.00
_cell_angle_gamma 90.00
_symmetry_space_group_name_H-M 'P 1'
_symmetry_Int_Tables_number 1
_symmetry_space_group_name_Hall 'P 1'
loop_
_atom_site_label
_atom_site_fract_x
_atom_site_fract_y
_atom_site_fract_z
K1 0.000 0.000 0.000
Cr1 0.500 0.500 0.375
Cr2 0.500 0.500 0.625
Au1 0.000 0.000 0.500
```

Computed properties:
Its excess energy over the best structure of this formula in the dataset is 0.0 meV per atom. For the raw total energy, the calculation gives -22.12 eV per formula unit. As for the calculated formation energy: 0.85 eV per atom. For the density of states at the Fermi level, the calculation gives 2.640 states/eV per cell.

(12)
The following is a DFT calculation (GGA-PBEsol) of KCr2Au after structural relaxation.

Cell and atoms, written as CIF:
```
data_KCr2Au
_chemical_formula_sum 'K1 Cr2 Au1'
_cell_length_a 6.193
_cell_length_b 6.193
_cell_length_c 6.193
_cell_angle_alpha 156.24
_cell_angle_beta 132.12
_cell_angle_gamma 54.14
_symmetry_space_group_name_H-M 'P 1'
_symmetry_Int_Tables_number 1
_symmetry_space_group_name_Hall 'P 1'
loop_
_atom_site_label
_atom_site_fract_x
_atom_site_fract_y
_atom_site_fract_z
K1 0.000 0.000 0.000
Cr1 0.284 0.784 0.500
Cr2 0.716 0.216 0.500
Au1 0.500 0.500 0.000
```

Computed properties:
Its excess energy over the best structure of this formula in the dataset is 320.9 meV per atom. For the raw total energy, the calculation gives -20.84 eV per formula unit. As for the calculated formation energy: 1.18 eV per atom. For the density of states at the Fermi level, the calculation gives 4.442 states/eV per cell.

Q: Which formula does entry 6 have?
A: CrSnAu2I